[1]
Entry from Alexandria: crystalline Er4SbOs at its relaxed geometry (GGA-PBE).

Summary:
- total magnetization (μB per atom) = 0.000
- VASP energy (eV per atom) = -6.04
- energy relative to the elements, uncorrected (eV/f.u.) = -2.7

The structure in POSCAR format:
```
Er4SbOs
1.0
3.416 -3.416 0.000
3.416 3.416 0.000
-0.027 0.000 7.342
Er Sb Os
4 1 1
Cartesian
1.694 1.709 5.728 Er
5.111 1.709 1.613 Er
1.694 -1.709 5.728 Er
5.111 -1.709 1.613 Er
-0.014 0.000 3.671 Sb
3.416 0.000 0.000 Os
```

[2]
Entry from Alexandria: crystalline Er8SbOs2 at its relaxed geometry (GGA-PBE).

Summary:
- total magnetization (μB per atom) = 0.000
- VASP energy (eV per atom) = -6.07
- energy relative to the elements, uncorrected (eV/f.u.) = -3.7

The structure in POSCAR format:
```
Er8SbOs2
1.0
4.310 -6.435 0.000
4.310 6.435 0.000
-1.281 0.000 5.378
Er Sb Os
8 1 2
Cartesian
0.971 1.716 3.175 Er
4.310 3.264 0.000 Er
0.971 -1.716 3.175 Er
3.077 0.000 1.111 Er
4.263 0.000 4.267 Er
6.369 1.716 2.203 Er
4.310 -3.264 0.000 Er
6.369 -1.716 2.203 Er
0.000 0.000 0.000 Sb
3.670 2.401 2.689 Os
3.670 -2.401 2.689 Os
```